1.
Cs2CoOs (PBE-GGA, optimized geometry); formation energy = 2099 meV/atom
1.0
4.511 0.000 0.000
0.000 4.511 0.000
0.000 0.000 23.504
Cs Co Os
8 4 4
direct
0.250 0.250 0.125
0.250 0.250 0.625
0.250 0.750 0.375
0.250 0.750 0.875
0.750 0.250 0.375
0.750 0.250 0.875
0.750 0.750 0.125
0.750 0.750 0.625
0.000 0.000 0.000
0.000 0.500 0.250
0.500 0.000 0.750
0.500 0.500 0.500
0.000 0.000 0.500
0.000 0.500 0.750
0.500 0.000 0.250
0.500 0.500 0.000

---

2.
CsCoP (PBE-GGA, optimized geometry); formation energy = -408 meV/atom
1.0
4.104 0.000 0.000
0.831 4.020 0.000
1.902 0.029 11.538
Cs Co P
2 2 2
direct
0.086 0.288 0.266
0.914 0.712 0.734
0.212 0.712 0.000
0.788 0.288 0.000
0.333 0.197 0.935
0.667 0.803 0.065

---

3.
CsCoP (PBE-GGA, optimized geometry); formation energy = -465 meV/atom
1.0
3.844 0.000 0.000
0.000 3.844 0.000
0.000 0.000 12.096
Cs Co P
2 2 2
direct
0.250 0.250 0.228
0.750 0.750 0.772
0.250 0.750 0.500
0.750 0.250 0.500
0.250 0.250 0.592
0.750 0.750 0.408

---

4.
CsCoP (PBE-GGA, optimized geometry); formation energy = -352 meV/atom
1.0
13.632 0.000 0.000
0.000 4.054 0.000
-2.051 0.000 6.433
Cs Co P
4 4 4
direct
0.098 0.000 0.314
0.402 0.500 0.686
0.598 0.500 0.314
0.902 0.000 0.686
0.202 0.998 0.905
0.298 0.498 0.095
0.702 0.498 0.905
0.798 0.998 0.095
0.158 0.498 0.835
0.342 0.998 0.165
0.658 0.998 0.835
0.842 0.498 0.165

---

5.
CsCo2P2 (PBE-GGA, optimized geometry); formation energy = -260 meV/atom
1.0
3.732 0.000 0.000
0.000 3.732 0.000
0.000 0.000 7.300
Cs Co P
1 2 2
direct
0.000 0.000 0.000
0.000 0.500 0.500
0.500 0.000 0.500
0.500 0.500 0.330
0.500 0.500 0.670

---

6.
CsCoP (PBE-GGA, optimized geometry); formation energy = -465 meV/atom
1.0
3.840 0.000 0.000
0.000 3.840 0.000
-1.823 -0.883 12.052
Cs Co P
2 2 2
direct
0.120 0.187 0.226
0.880 0.813 0.774
0.250 0.750 0.500
0.750 0.250 0.500
0.294 0.271 0.593
0.706 0.729 0.407

---

7.
Cs3CoP (PBE-GGA, optimized geometry); formation energy = 639 meV/atom
1.0
6.866 0.000 0.000
0.000 6.866 0.000
0.000 0.000 6.866
Cs Co P
3 1 1
direct
0.000 0.000 0.500
0.000 0.500 0.000
0.500 0.000 0.000
0.500 0.500 0.500
0.000 0.000 0.000

---

8.
CsCo2PRu (PBE-GGA, optimized geometry); formation energy = 2752 meV/atom
1.0
4.690 0.000 0.000
0.000 4.690 0.000
0.000 0.000 4.993
Cs Co P Ru
1 2 1 1
direct
0.000 0.000 0.000
0.000 0.500 0.000
0.500 0.000 0.000
0.500 0.500 0.500
0.000 0.000 0.500

---

9.
CsCoP2S8 (PBE-GGA, optimized geometry); energy relative to the elements, uncorrected = -0.255 eV per atom
1.0
5.737 0.000 0.000
-2.868 4.968 0.000
0.000 0.000 10.544
Cs Co P S
1 1 2 8
direct
0.000 0.000 0.000
0.000 0.000 0.500
0.333 0.667 0.683
0.667 0.333 0.317
0.016 0.687 0.374
0.313 0.330 0.374
0.330 0.016 0.626
0.333 0.667 0.873
0.667 0.333 0.127
0.670 0.984 0.374
0.687 0.670 0.626
0.984 0.313 0.626

---

10.
Cs2Pa2CoS6 (PBE-GGA, optimized geometry); energy relative to the elements, uncorrected = -1.262 eV per atom
1.0
3.373 -5.800 0.000
3.373 5.800 0.000
-2.173 0.000 8.312
Cs Pa Co S
2 2 1 6
direct
0.166 0.834 0.000
0.834 0.166 0.000
0.335 0.665 0.500
0.665 0.335 0.500
0.000 0.000 0.500
0.057 0.383 0.674
0.263 0.263 0.325
0.383 0.057 0.674
0.617 0.943 0.326
0.737 0.737 0.675
0.943 0.617 0.326

---

11.
Cs2PaCoS4 (PBE-GGA, optimized geometry); energy relative to the elements, uncorrected = -1.032 eV per atom
1.0
0.000 7.279 13.123
3.061 0.000 13.123
3.061 7.279 0.000
Cs Pa Co S
4 2 2 8
direct
0.054 0.054 0.696
0.304 0.304 0.946
0.696 0.696 0.054
0.946 0.946 0.304
0.125 0.125 0.125
0.875 0.875 0.875
0.375 0.375 0.375
0.625 0.625 0.625
0.014 0.639 0.548
0.299 0.548 0.639
0.361 0.986 0.701
0.452 0.701 0.986
0.548 0.299 0.014
0.639 0.014 0.299
0.701 0.452 0.361
0.986 0.361 0.452

---

12.
CsPa2CoS8 (PBE-GGA, optimized geometry); energy relative to the elements, uncorrected = -1.033 eV per atom
1.0
5.836 0.000 0.000
-2.918 5.054 0.000
0.000 0.000 10.058
Cs Pa Co S
1 2 1 8
direct
0.000 0.000 0.000
0.333 0.667 0.388
0.667 0.333 0.612
0.000 0.000 0.500
0.172 0.344 0.637
0.172 0.828 0.637
0.333 0.667 0.147
0.344 0.172 0.363
0.656 0.828 0.637
0.667 0.333 0.853
0.828 0.172 0.363
0.828 0.656 0.363

---

no.,DFT total energy (eV per atom),spin magnetization (μB/cell)
1,-2.911,14.6
2,-4.865,0.0
3,-4.921,0.7
4,-4.808,0.0
5,-5.437,0.6
6,-4.922,0.8
7,-2.376,3.0
8,-3.198,3.5
9,-4.572,2.0
10,-6.041,3.1
11,-5.384,4.0
12,-6.031,0.0